(1)
{
  "formula": "LiCu2NiH6",
  "functional": "GGA-PBE",
  "state": "optimized geometry",
  "lattice_angstrom": [[-1.701, -3.106, 2.708], [1.075, -1.032, -4.165], [4.598, 1.355, 0.916]],
  "species": ["Ni", "Cu", "Cu", "H", "H", "H", "H", "H", "H", "Li"],
  "frac_coords": [[0.949, 0.976, 0.910], [0.643, 0.322, 0.958], [0.553, 0.774, 0.307], [0.840, 0.762, 0.164], [0.672, 0.563, 0.673], [0.119, 0.102, 0.670], [0.408, 0.068, 0.155], [0.096, 0.348, 0.159], [0.583, 0.012, 0.668], [0.103, 0.551, 0.639]],
  "dos_ef_per_ev_atom": 0.117,
  "e_tot_ev_per_atom": -3.626,
  "crystal_system": "triclinic",
  "spacegroup": "P1, No. 1"
}

---

(2)
{
  "formula": "Li5CuHO4",
  "functional": "GGA-PBE",
  "state": "optimized geometry",
  "lattice_angstrom": [[8.759, 0.000, 0.000], [0.000, 8.964, 0.000], [0.000, 0.000, 10.714]],
  "species": ["Li", "Li", "Li", "Li", "Li", "Li", "Li", "Li", "Li", "Li", "Li", "Li", "Li", "Li", "Li", "Li", "Li", "Li", "Li", "Li", "Li", "Li", "Li", "Li", "Li", "Li", "Li", "Li", "Li", "Li", "Li", "Li", "Li", "Li", "Li", "Li", "Li", "Li", "Li", "Li", "O", "O", "O", "O", "O", "O", "O", "O", "O", "O", "O", "O", "O", "O", "O", "O", "O", "O", "O", "O", "O", "O", "O", "O", "O", "O", "O", "O", "O", "O", "O", "O", "Cu", "Cu", "Cu", "Cu", "Cu", "Cu", "Cu", "Cu", "H", "H", "H", "H", "H", "H", "H", "H"],
  "frac_coords": [[0.750, 0.077, 0.573], [0.428, 0.893, 0.984], [0.750, 0.381, 0.520], [0.087, 0.295, 0.877], [0.433, 0.576, 0.929], [0.250, 0.923, 0.427], [0.072, 0.393, 0.516], [0.250, 0.119, 0.020], [0.072, 0.893, 0.984], [0.087, 0.795, 0.623], [0.567, 0.924, 0.429], [0.567, 0.424, 0.071], [0.917, 0.485, 0.704], [0.572, 0.607, 0.484], [0.067, 0.576, 0.929], [0.750, 0.577, 0.927], [0.587, 0.205, 0.377], [0.933, 0.424, 0.071], [0.583, 0.985, 0.796], [0.750, 0.881, 0.980], [0.583, 0.485, 0.704], [0.083, 0.015, 0.204], [0.413, 0.295, 0.877], [0.917, 0.985, 0.796], [0.913, 0.705, 0.123], [0.933, 0.924, 0.429], [0.250, 0.423, 0.073], [0.913, 0.205, 0.377], [0.928, 0.607, 0.484], [0.928, 0.107, 0.016], [0.417, 0.515, 0.296], [0.067, 0.076, 0.571], [0.250, 0.619, 0.480], [0.428, 0.393, 0.516], [0.417, 0.015, 0.204], [0.587, 0.705, 0.123], [0.572, 0.107, 0.016], [0.083, 0.515, 0.296], [0.413, 0.795, 0.623], [0.433, 0.076, 0.571], [0.933, 0.759, 0.895], [0.250, 0.421, 0.395], [0.911, 0.921, 0.118], [0.589, 0.425, 0.880], [0.911, 0.421, 0.382], [0.911, 0.425, 0.880], [0.433, 0.241, 0.105], [0.567, 0.759, 0.895], [0.067, 0.241, 0.105], [0.067, 0.741, 0.395], [0.589, 0.421, 0.382], [0.089, 0.075, 0.380], [0.250, 0.921, 0.105], [0.433, 0.741, 0.395], [0.911, 0.925, 0.620], [0.411, 0.079, 0.882], [0.750, 0.056, 0.386], [0.589, 0.925, 0.620], [0.750, 0.079, 0.895], [0.411, 0.579, 0.618], [0.589, 0.921, 0.118], [0.250, 0.444, 0.886], [0.567, 0.259, 0.605], [0.089, 0.575, 0.120], [0.750, 0.579, 0.605], [0.089, 0.079, 0.882], [0.411, 0.075, 0.380], [0.411, 0.575, 0.120], [0.089, 0.579, 0.618], [0.750, 0.556, 0.114], [0.933, 0.259, 0.605], [0.250, 0.944, 0.614], [0.750, 0.980, 0.225], [0.250, 0.717, 0.122], [0.750, 0.283, 0.878], [0.250, 0.020, 0.775], [0.250, 0.217, 0.378], [0.250, 0.520, 0.725], [0.750, 0.783, 0.622], [0.750, 0.480, 0.275], [0.077, 0.266, 0.193], [0.923, 0.234, 0.693], [0.423, 0.766, 0.307], [0.077, 0.766, 0.307], [0.577, 0.734, 0.807], [0.923, 0.734, 0.807], [0.577, 0.234, 0.693], [0.423, 0.266, 0.193]],
  "e_tot_ev_per_atom": -4.839,
  "crystal_system": "orthorhombic",
  "spacegroup": "Pnma, No. 62"
}

---

(3)
{
  "formula": "LiCuH4O4",
  "functional": "GGA-PBE",
  "state": "optimized geometry",
  "lattice_angstrom": [[5.203, 0.000, 0.000], [0.000, 7.787, 0.000], [0.000, 0.000, 9.035]],
  "species": ["O", "O", "O", "O", "O", "O", "O", "O", "O", "O", "O", "O", "O", "O", "O", "O", "Li", "Li", "Li", "Li", "Cu", "Cu", "Cu", "Cu", "H", "H", "H", "H", "H", "H", "H", "H", "H", "H", "H", "H", "H", "H", "H", "H"],
  "frac_coords": [[0.999, 0.326, 0.092], [0.380, 0.080, 0.827], [0.655, 0.541, 0.198], [0.001, 0.674, 0.592], [0.501, 0.826, 0.592], [0.845, 0.041, 0.698], [0.857, 0.189, 0.431], [0.357, 0.311, 0.431], [0.143, 0.811, 0.931], [0.499, 0.174, 0.092], [0.120, 0.580, 0.327], [0.643, 0.689, 0.931], [0.155, 0.959, 0.198], [0.345, 0.459, 0.698], [0.620, 0.920, 0.327], [0.880, 0.420, 0.827], [0.672, 0.613, 0.719], [0.328, 0.387, 0.219], [0.172, 0.887, 0.719], [0.828, 0.113, 0.219], [0.205, 0.502, 0.513], [0.295, 0.002, 0.013], [0.705, 0.998, 0.513], [0.795, 0.498, 0.013], [0.560, 0.048, 0.799], [0.612, 0.663, 0.208], [0.388, 0.337, 0.708], [0.041, 0.198, 0.457], [0.959, 0.802, 0.957], [0.112, 0.837, 0.208], [0.569, 0.221, 0.000], [0.440, 0.952, 0.299], [0.431, 0.779, 0.500], [0.060, 0.452, 0.799], [0.940, 0.548, 0.299], [0.069, 0.279, 0.000], [0.541, 0.302, 0.457], [0.931, 0.721, 0.500], [0.459, 0.698, 0.957], [0.888, 0.163, 0.708]],
  "e_tot_ev_per_atom": -4.943,
  "crystal_system": "orthorhombic",
  "spacegroup": "Pna2_1, No. 33"
}

---

(4)
{
  "formula": "Li19Cu4H8O16",
  "functional": "GGA-PBE",
  "state": "optimized geometry",
  "lattice_angstrom": [[5.529, -0.007, 0.004], [0.008, 7.432, -0.014], [0.104, 0.050, 10.863]],
  "species": ["Li", "Li", "Li", "Li", "Li", "Li", "Li", "Li", "Li", "Li", "Li", "Li", "Li", "Li", "Li", "Li", "Li", "Li", "Li", "O", "O", "O", "O", "O", "O", "O", "O", "O", "O", "O", "O", "O", "O", "O", "O", "H", "H", "H", "H", "H", "H", "H", "H", "Cu", "Cu", "Cu", "Cu"],
  "frac_coords": [[0.996, 0.749, 0.745], [0.938, 0.749, 0.958], [0.286, 0.496, 0.343], [0.713, 0.507, 0.651], [0.713, 0.991, 0.651], [0.418, 0.249, 0.711], [0.784, 0.004, 0.154], [0.209, 0.501, 0.849], [0.054, 0.250, 0.046], [0.443, 0.255, 0.226], [0.577, 0.746, 0.288], [0.482, 0.749, 0.750], [0.951, 0.244, 0.272], [0.076, 0.756, 0.203], [0.293, 0.002, 0.342], [0.928, 0.249, 0.784], [0.209, 0.997, 0.849], [0.561, 0.249, 0.452], [0.791, 0.494, 0.155], [0.749, 0.250, 0.619], [0.358, 0.518, 0.686], [0.245, 0.749, 0.357], [0.153, 0.040, 0.169], [0.853, 0.967, 0.827], [0.266, 0.749, 0.905], [0.657, 0.463, 0.327], [0.722, 0.250, 0.102], [0.853, 0.531, 0.827], [0.230, 0.248, 0.396], [0.759, 0.749, 0.121], [0.240, 0.249, 0.884], [0.661, 0.036, 0.327], [0.158, 0.455, 0.169], [0.808, 0.750, 0.599], [0.358, 0.981, 0.686], [0.274, 0.962, 0.609], [0.725, 0.497, 0.886], [0.753, 0.514, 0.394], [0.275, 0.538, 0.608], [0.725, 0.000, 0.885], [0.259, 0.511, 0.105], [0.260, 0.994, 0.104], [0.753, 0.981, 0.394], [0.023, 0.749, 0.478], [0.010, 0.249, 0.518], [0.496, 0.749, 0.020], [0.503, 0.249, 0.981]],
  "dos_ef_per_ev_atom": 0.547,
  "e_tot_ev_per_atom": -4.848,
  "crystal_system": "triclinic",
  "spacegroup": "P1, No. 1"
}

---

(5)
{
  "formula": "LiCu2P3H2O10",
  "functional": "GGA-PBE",
  "state": "optimized geometry",
  "lattice_angstrom": [[7.852, 0.132, 0.224], [2.834, 7.214, -0.043], [3.030, 1.158, 8.368]],
  "species": ["O", "O", "O", "O", "O", "O", "O", "O", "O", "O", "O", "O", "O", "O", "O", "O", "O", "O", "O", "O", "Cu", "Cu", "Cu", "Cu", "P", "P", "P", "P", "P", "P", "H", "H", "H", "H", "Li", "Li"],
  "frac_coords": [[0.936, 0.830, 0.159], [0.186, 0.504, 0.136], [0.191, 0.950, 0.635], [0.410, 0.108, 0.670], [0.880, 0.258, 0.105], [0.827, 0.362, 0.364], [0.292, 0.801, 0.064], [0.173, 0.638, 0.636], [0.708, 0.199, 0.936], [0.064, 0.170, 0.841], [0.865, 0.708, 0.460], [0.809, 0.050, 0.365], [0.120, 0.742, 0.895], [0.135, 0.292, 0.540], [0.692, 0.897, 0.794], [0.590, 0.892, 0.330], [0.537, 0.345, 0.297], [0.814, 0.496, 0.864], [0.308, 0.103, 0.206], [0.463, 0.655, 0.703], [0.645, 0.521, 0.525], [0.355, 0.479, 0.475], [0.446, 0.341, 0.043], [0.554, 0.659, 0.957], [0.785, 0.859, 0.340], [0.215, 0.141, 0.660], [0.851, 0.290, 0.930], [0.252, 0.736, 0.710], [0.149, 0.710, 0.070], [0.748, 0.264, 0.290], [0.288, 0.020, 0.152], [0.414, 0.020, 0.254], [0.712, 0.980, 0.848], [0.586, 0.980, 0.746], [0.894, 0.682, 0.671], [0.106, 0.318, 0.329]],
  "dos_ef_per_ev_atom": 0.000,
  "e_tot_ev_per_atom": -6.259,
  "crystal_system": "triclinic",
  "spacegroup": "P-1, No. 2"
}

---

(6)
{
  "formula": "RbLiCu2H3S2O10",
  "functional": "GGA-PBE",
  "state": "optimized geometry",
  "lattice_angstrom": [[0.703, -4.855, -3.429], [5.477, -2.005, -1.347], [2.603, -7.111, 3.768]],
  "species": ["O", "O", "O", "O", "O", "O", "O", "O", "O", "O", "Li", "Rb", "Cu", "Cu", "H", "H", "H", "S", "S"],
  "frac_coords": [[0.197, 0.784, 0.798], [0.800, 0.221, 0.224], [0.703, 0.703, 0.868], [0.808, 0.808, 0.227], [0.829, 0.829, 0.501], [0.784, 0.197, 0.798], [0.179, 0.179, 0.519], [0.221, 0.800, 0.224], [0.195, 0.195, 0.796], [0.291, 0.291, 0.118], [0.379, 0.379, 0.271], [0.513, 0.513, 0.524], [0.507, 0.008, 0.993], [0.008, 0.507, 0.993], [0.193, 0.193, 0.237], [0.598, 0.598, 0.897], [0.766, 0.766, 0.727], [0.090, 0.090, 0.728], [0.912, 0.912, 0.295]],
  "dos_ef_per_ev_atom": 0.271,
  "polymorph_energy_mev_per_atom": 29,
  "crystal_system": "monoclinic",
  "spacegroup": "Cm, No. 8"
}

---

(7)
{
  "formula": "RbLiCu2H3S2O10",
  "functional": "GGA-PBE",
  "state": "optimized geometry",
  "lattice_angstrom": [[-3.886, -2.287, 4.467], [-0.350, -1.939, -6.952], [6.444, -3.033, 3.606]],
  "species": ["H", "H", "H", "O", "O", "O", "O", "O", "O", "O", "O", "O", "O", "Rb", "S", "S", "Cu", "Cu", "Li"],
  "frac_coords": [[0.549, 0.415, 0.773], [0.538, 0.436, 0.981], [0.469, 0.425, 0.228], [0.081, 0.815, 0.323], [0.233, 0.750, 0.941], [0.959, 0.064, 0.269], [0.941, 0.940, 0.730], [0.383, 0.291, 0.095], [0.659, 0.516, 0.909], [0.344, 0.271, 0.540], [0.828, 0.270, 0.055], [0.562, 0.720, 0.447], [0.813, 0.174, 0.654], [0.054, 0.548, 0.518], [0.818, 0.957, 0.581], [0.086, 0.036, 0.407], [0.963, 0.502, 0.970], [0.484, 0.076, 0.036], [0.991, 0.085, 0.021]],
  "dos_ef_per_ev_atom": 0.268,
  "polymorph_energy_mev_per_atom": 166,
  "crystal_system": "triclinic",
  "spacegroup": "P1, No. 1"
}

---

(8)
{
  "formula": "RbLiCu2H3S2O10",
  "functional": "GGA-PBE",
  "state": "optimized geometry",
  "lattice_angstrom": [[-5.257, -0.073, -1.893], [1.259, -3.321, 5.305], [0.257, 7.377, 2.609]],
  "species": ["H", "H", "H", "O", "O", "O", "O", "O", "O", "O", "O", "O", "O", "Cu", "Cu", "S", "S", "Rb", "Li"],
  "frac_coords": [[0.541, 0.375, 0.777], [0.309, 0.443, 0.175], [0.455, 0.511, 0.016], [0.121, 0.199, 0.253], [0.371, 0.572, 0.112], [0.494, 0.103, 0.213], [0.002, 0.890, 0.801], [0.043, 0.790, 0.238], [0.565, 0.881, 0.793], [0.717, 0.859, 0.518], [0.600, 0.407, 0.909], [0.391, 0.150, 0.504], [0.966, 0.251, 0.768], [0.994, 0.522, 0.998], [0.415, 0.072, 0.939], [0.813, 0.973, 0.719], [0.265, 0.064, 0.307], [0.032, 0.545, 0.514], [0.703, 0.906, 0.274]],
  "dos_ef_per_ev_atom": 0.282,
  "polymorph_energy_mev_per_atom": 0,
  "crystal_system": "triclinic",
  "spacegroup": "P1, No. 1"
}

---

(9)
{
  "formula": "RbLiCu2H3S2O10",
  "functional": "GGA-PBE",
  "state": "optimized geometry",
  "lattice_angstrom": [[-5.267, -2.060, -1.722], [0.209, -4.205, -4.151], [-0.718, -6.484, 4.109]],
  "species": ["S", "S", "O", "O", "O", "O", "O", "O", "O", "O", "O", "O", "H", "H", "H", "Rb", "Cu", "Cu", "Li"],
  "frac_coords": [[0.870, 0.870, 0.308], [0.082, 0.082, 0.749], [0.715, 0.715, 0.843], [0.145, 0.145, 0.552], [0.296, 0.296, 0.121], [0.773, 0.150, 0.281], [0.769, 0.769, 0.488], [0.785, 0.785, 0.168], [0.190, 0.804, 0.804], [0.200, 0.200, 0.842], [0.804, 0.190, 0.804], [0.150, 0.773, 0.281], [0.754, 0.754, 0.708], [0.376, 0.376, 0.171], [0.614, 0.614, 0.861], [0.462, 0.462, 0.539], [0.532, 0.026, 0.986], [0.026, 0.532, 0.986], [0.125, 0.125, 0.312]],
  "dos_ef_per_ev_atom": 0.149,
  "polymorph_energy_mev_per_atom": 3,
  "crystal_system": "monoclinic",
  "spacegroup": "Cm, No. 8"
}

---

(10)
{
  "formula": "Li2CuPH",
  "functional": "GGA-PBE",
  "state": "optimized geometry",
  "lattice_angstrom": [[3.730, 0.000, 0.000], [0.000, 3.730, 0.000], [0.000, 0.000, 3.743]],
  "species": ["H", "Cu", "Li", "Li", "P"],
  "frac_coords": [[0.000, 0.000, 0.000], [0.000, 0.000, 0.500], [0.000, 0.500, 0.000], [0.500, 0.000, 0.000], [0.500, 0.500, 0.500]],
  "dos_ef_per_ev_atom": 0.227,
  "e_tot_ev_per_atom": -3.634,
  "crystal_system": "tetragonal",
  "spacegroup": "P4/mmm, No. 123"
}

---

(11)
{
  "formula": "Li2CuHPb",
  "functional": "GGA-PBE",
  "state": "optimized geometry",
  "lattice_angstrom": [[-3.273, 2.159, -2.121], [-3.022, -2.510, 2.107], [-0.138, 2.368, 2.623]],
  "species": ["Pb", "H", "Cu", "Li", "Li"],
  "frac_coords": [[0.500, 0.500, 0.500], [0.000, 0.000, 0.000], [0.000, 0.000, 0.500], [0.000, 0.500, 0.000], [0.500, 0.000, 0.000]],
  "dos_ef_per_ev_atom": 0.482,
  "e_tot_ev_per_atom": -3.124,
  "crystal_system": "tetragonal",
  "spacegroup": "P4/mmm, No. 123"
}

---

(12)
{
  "formula": "LiCu2H4Pd",
  "functional": "GGA-PBE",
  "state": "optimized geometry",
  "lattice_angstrom": [[-3.862, 1.402, 0.135], [-0.852, -2.639, 3.035], [3.469, 3.417, 1.161]],
  "species": ["Li", "Cu", "Cu", "H", "H", "H", "H", "Pd"],
  "frac_coords": [[0.000, 0.000, 0.000], [0.250, 0.750, 0.500], [0.750, 0.250, 0.500], [0.597, 0.597, 0.721], [0.124, 0.124, 0.721], [0.403, 0.876, 0.279], [0.876, 0.403, 0.279], [0.500, 0.500, 0.000]],
  "dos_ef_per_ev_atom": 0.122,
  "e_tot_ev_per_atom": -3.677,
  "crystal_system": "tetragonal",
  "spacegroup": "I-42m, No. 121"
}

---

Number 10 is which compound?
Li2CuPH